(1)
Here is Cs4SeClF after structural relaxation from the Alexandria database. Energies are from PBE.

Structure (POSCAR):
```
Cs4SeClF
1.0
8.431 0.000 0.072
0.000 7.945 0.000
-3.227 0.000 9.400
Cs Se Cl F
8 2 2 2
Direct
0.997 0.500 0.741
0.003 0.000 0.259
0.003 0.500 0.259
0.997 0.000 0.741
0.448 0.750 0.128
0.552 0.250 0.872
0.439 0.750 0.581
0.561 0.250 0.419
0.771 0.750 0.438
0.229 0.250 0.562
0.736 0.750 0.935
0.264 0.250 0.065
0.238 0.750 0.291
0.762 0.250 0.709
```

Results
Crystal system: monoclinic
DFT total energy: -45.15 eV per cell
Space-group type: P2_1/m (11)
Formation energy from raw total energies: -11.96 eV per formula unit

(2)
Here is MnNiHg after structural relaxation from the Alexandria database. Energies are from PBE.

Structure (POSCAR):
```
MnNiHg
1.0
5.042 -0.022 -0.036
3.040 4.022 0.036
-4.027 -2.028 2.256
Hg Mn Ni
1 1 1
Direct
0.003 0.003 0.000
0.312 0.312 0.000
0.685 0.685 0.000
```

Results
Crystal system: tetragonal
Energy relative to the lowest polymorph listed for this composition: 0.0 meV/atom
DFT total energy: -14.83 eV per cell
Space-group type: I4mm (107)
Energy relative to the elements: 0.142 eV/atom